Record 1
# BaScRu

A geometry-optimized BaScRu structure (GGA-PBEsol, Alexandria).

Values from the calculation:
Crystal system: tetragonal
Magnetization in μB per cell: 0.000
DOS at the Fermi energy in states/eV/atom: 1.130
Energy of formation in kJ/mol of atoms: 11.7

```
BaScRu
1.0
-0.312 -3.311 0.646
3.329 -0.407 -0.478
-0.440 3.019 6.372
Ba Ru Sc
1 1 1
direct
0.974 0.974 0.949
0.308 0.308 0.615
0.718 0.718 0.436
```

=====

Record 2
# BaScRu2

A geometry-optimized BaScRu2 structure (GGA-PBEsol, Alexandria).

Values from the calculation:
Crystal system: trigonal
Magnetization in μB per cell: 0.000
DOS at the Fermi energy in states/eV/atom: 0.700
Energy of formation in kJ/mol of atoms: 51.2

```
BaScRu2
1.0
-0.857 -0.092 3.081
-0.283 -2.812 1.498
8.114 -0.557 3.902
Ba Ru Sc
1 2 1
direct
0.000 0.000 0.000
0.240 0.240 0.279
0.760 0.760 0.721
0.500 0.500 0.500
```

=====

Record 3
# BaRuSe2

A geometry-optimized BaRuSe2 structure (GGA-PBEsol, Alexandria).

Values from the calculation:
Crystal system: tetragonal
Magnetization in μB per cell: 0.458
Polymorph energy (0 for the lowest one) in meV per atom: 552
DOS at the Fermi energy in states/eV/atom: 1.239
Formation energy without anion corrections in eV/f.u.: -1.20

```
BaRuSe2
1.0
-1.322 -1.234 3.136
1.242 -3.309 -0.778
6.612 1.671 3.444
Ba Ru Se
1 1 2
direct
0.000 0.000 0.462
0.500 0.500 0.926
0.000 0.000 0.873
0.500 0.500 0.239
```

=====

Record 4
# BaRuSe4

A geometry-optimized BaRuSe4 structure (GGA-PBEsol, Alexandria).

Values from the calculation:
Crystal system: cubic
Magnetization in μB per cell: 2.443
DOS at the Fermi energy in states/eV/atom: 0.904
Formation energy without anion corrections in eV/f.u.: 2.20

```
BaRuSe4
1.0
-0.159 -2.944 -4.973
3.939 -4.096 -1.061
-1.552 -5.569 -0.014
Ba Ru Se
1 1 4
direct
0.750 0.750 0.750
0.000 0.000 0.000
0.373 0.373 0.373
0.373 0.373 0.880
0.880 0.373 0.373
0.373 0.880 0.373
```

=====

Record 5
# BaRuSe2

A geometry-optimized BaRuSe2 structure (GGA-PBEsol, Alexandria).

Values from the calculation:
Crystal system: orthorhombic
Magnetization in μB per cell: 0.000
Polymorph energy (0 for the lowest one) in meV per atom: 141
DOS at the Fermi energy in states/eV/atom: 0.842
Formation energy without anion corrections in eV/f.u.: -2.84

```
BaRuSe2
1.0
3.868 0.000 0.000
1.934 5.110 0.018
1.934 1.374 4.922
Ba Ru Se
1 1 2
direct
0.500 0.000 0.000
0.000 0.500 0.500
0.317 0.683 0.683
0.683 0.317 0.317
```

=====

Record 6
# BaRuSe2

A geometry-optimized BaRuSe2 structure (GGA-PBEsol, Alexandria).

Values from the calculation:
Crystal system: trigonal
Magnetization in μB per cell: 0.000
Polymorph energy (0 for the lowest one) in meV per atom: 0
Formation energy without anion corrections in eV/f.u.: -3.41

```
BaRuSe2
1.0
-0.599 -1.200 3.797
-2.088 -3.362 0.743
4.583 -4.973 1.287
Ba Ru Se
1 1 2
direct
0.506 0.506 0.482
0.329 0.329 0.014
0.945 0.945 0.165
0.721 0.721 0.838
```

=====

Record 7
# BaRuSe

A geometry-optimized BaRuSe structure (GGA-PBEsol, Alexandria).

Values from the calculation:
Crystal system: cubic
Magnetization in μB per cell: 1.382
DOS at the Fermi energy in states/eV/atom: 1.367
Formation energy without anion corrections in eV/f.u.: 0.32

```
BaRuSe
1.0
-0.979 2.564 -3.819
-4.430 1.311 -0.880
-1.251 4.510 0.453
Ba Ru Se
1 1 1
direct
0.500 0.500 0.500
0.250 0.250 0.250
0.000 0.000 0.000
```

=====

Record 8
# BaSr2Ru

A geometry-optimized BaSr2Ru structure (GGA-PBEsol, Alexandria).

Values from the calculation:
Crystal system: trigonal
Magnetization in μB per cell: 0.094
Polymorph energy (0 for the lowest one) in meV per atom: 125
DOS at the Fermi energy in states/eV/atom: 1.583
Energy of formation in kJ/mol of atoms: 54.0

```
BaSr2Ru
1.0
3.915 0.000 0.000
1.957 3.390 0.000
1.957 1.130 11.291
Ba Ru Sr
1 1 2
direct
0.500 0.500 0.500
0.000 0.000 0.000
0.277 0.277 0.169
0.723 0.723 0.831
```

=====

Record 9
# BaSr2Ru

A geometry-optimized BaSr2Ru structure (GGA-PBEsol, Alexandria).

Values from the calculation:
Crystal system: tetragonal
Magnetization in μB per cell: 0.003
Polymorph energy (0 for the lowest one) in meV per atom: 0
DOS at the Fermi energy in states/eV/atom: 1.643
Energy of formation in kJ/mol of atoms: 42.0

```
BaSr2Ru
1.0
-1.694 1.587 -2.856
-3.217 -1.376 1.143
-1.640 8.615 5.760
Ba Ru Sr
1 1 2
direct
0.500 0.500 0.000
0.500 0.500 0.500
0.000 0.000 0.662
0.000 0.000 0.338
```

=====

Record 10
# BaTaRu2

A geometry-optimized BaTaRu2 structure (GGA-PBEsol, Alexandria).

Values from the calculation:
Crystal system: monoclinic
Magnetization in μB per cell: 0.000
Polymorph energy (0 for the lowest one) in meV per atom: 227
DOS at the Fermi energy in states/eV/atom: 0.881
Energy of formation in kJ/mol of atoms: 40.1

```
BaTaRu2
1.0
-0.502 -2.330 -2.023
3.561 -0.615 2.240
-4.331 -3.020 4.552
Ba Ru Ta
1 2 1
direct
0.500 0.000 0.000
0.728 0.456 0.665
0.272 0.544 0.335
0.000 0.000 0.500
```

=====

Record 11
# BaTaRu2

A geometry-optimized BaTaRu2 structure (GGA-PBEsol, Alexandria).

Values from the calculation:
Crystal system: tetragonal
Magnetization in μB per cell: 0.046
Polymorph energy (0 for the lowest one) in meV per atom: 419
DOS at the Fermi energy in states/eV/atom: 1.305
Energy of formation in kJ/mol of atoms: 58.5

```
BaTaRu2
1.0
-0.698 -2.171 -2.451
0.098 -2.519 2.203
-7.574 0.897 1.361
Ba Ru Ta
1 2 1
direct
0.500 0.500 0.769
0.000 0.000 0.087
0.500 0.500 0.251
0.000 0.000 0.393
```

=====

Record 12
# BaTaRu2

A geometry-optimized BaTaRu2 structure (GGA-PBEsol, Alexandria).

Values from the calculation:
Crystal system: monoclinic
Magnetization in μB per cell: 0.000
Polymorph energy (0 for the lowest one) in meV per atom: 0
DOS at the Fermi energy in states/eV/atom: 0.994
Energy of formation in kJ/mol of atoms: 18.1

```
BaTaRu2
1.0
3.176 0.000 -0.014
0.000 3.180 0.000
-0.212 0.000 7.705
Ba Ru Ta
1 2 1
direct
0.500 0.500 0.500
0.987 0.000 0.813
0.013 0.000 0.187
0.500 0.500 0.000
```